First-principles (GGA-PBE) data for a geometry-optimized NbSi2Cl structure, as listed in Alexandria.

Lattice parameters (Å, degrees): 6.4836 6.4836 6.4836 90.00 90.00 90.00
Last column: nearest neighbours and their distance in Å.
Space group Fm-3m (No. 225)
One atom of each set of equivalent atoms:
Nb 0.0000 0.0000 0.0000 [4 per cell]  8 Si 2.81
Si 0.2500 0.2500 0.2500 [8 per cell]  4 Cl 2.81, 4 Nb 2.81
Cl 0.0000 0.0000 0.5000 [4 per cell]  8 Si 2.81

Properties
The energy above the most stable polymorph in this dataset is 0.000 eV/atom. For the raw formation energy, the calculation gives 2.88 eV per formula unit.

First-principles (GGA-PBE) data for a geometry-optimized TaCoSn2Mo structure, as listed in Alexandria.

Lattice parameters (Å, degrees): 5.3043 5.3043 4.4785 90.00 90.00 90.00
Last column: nearest neighbours and their distance in Å.
Space group P4/mmm (No. 123)
One atom of each set of equivalent atoms:
Ta 0.0000 0.0000 0.0000 [1 per cell]  2 Co 2.24
Co 0.0000 0.0000 0.5000 [1 per cell]  2 Ta 2.24
Sn 0.0000 0.5000 0.0000 [2 per cell]  2 Ta 2.65
Mo 0.5000 0.5000 0.5000 [1 per cell]  8 Sn 3.47, 4 Co 3.75

Properties
The calculation puts the formation energy at 7.50 eV/f.u.

> Number 2 is which compound?

TaCoSn2Mo